The following is a PBE calculation of InRuBr2 after structural relaxation, from Alexandria.

Geometry as extended XYZ:
```
8
Lattice="3.3872 0.0000 0.0000 0.0000 7.4761 0.0000 0.0000 0.0000 9.4971" Properties=species:S:1:pos:R:3 pbc="T T T"
In 0.0000 0.0000 0.0000
In 1.6936 3.7381 4.7486
Ru 0.0000 3.7381 2.6250
Ru 1.6936 0.0000 7.3735
Br 0.0000 0.0000 5.6093
Br 0.0000 3.7381 6.9267
Br 1.6936 0.0000 2.1781
Br 1.6936 3.7381 0.8608
```

Properties
Relative energy among the computed polymorphs, meV/atom: 281
Crystal system: orthorhombic
Symmetry: Imm2 (44)
VASP energy, eV per atom: -3.64
ΔE_f (raw), eV per atom: 0.196